Compound: TmZrMn2
Source: Alexandria
Functional: PBE
Structure: optimized geometry Values from VASP.

The calculation puts the distance to the lowest polymorph of the same formula at 65 meV per atom. The symmetry is No. 123. As for the density: 8291 kg/m³. As for the density of states at the Fermi level: 6.0 states/eV/cell.

Cell and atoms, written as Quantum ESPRESSO input:
```
&SYSTEM
  ibrav = 0, nat = 4, ntyp = 3
/
ATOMIC_SPECIES
Tm 168.93 Tm.upf
Zr 91.22 Zr.upf
Mn 54.94 Mn.upf
CELL_PARAMETERS angstrom
4.7100 0.0000 0.0000
0.0000 4.7100 0.0000
0.0000 0.0000 3.3409
ATOMIC_POSITIONS angstrom
Tm 0.0000 0.0000 0.0000
Zr 2.3550 2.3550 0.0000
Mn 0.0000 2.3550 1.6704
Mn 2.3550 0.0000 1.6704
```

---

Compound: La3Tb7Nd
Source: Alexandria
Functional: PBE
Structure: optimized geometry Values from VASP.

The calculation puts the distance to the lowest polymorph of the same formula at 39 meV per atom. The symmetry is No. 12. As for the density: 7228 kg/m³. As for the density of states at the Fermi level: 16.5 states/eV/cell.

Cell and atoms, written as Quantum ESPRESSO input:
```
&SYSTEM
  ibrav = 0, nat = 11, ntyp = 3
/
ATOMIC_SPECIES
La 138.91 La.upf
Tb 158.93 Tb.upf
Nd 144.24 Nd.upf
CELL_PARAMETERS angstrom
5.8846 -5.0783 0.0000
5.8846 5.0783 0.0000
-0.5219 0.0000 6.4327
ATOMIC_POSITIONS angstrom
La 0.0000 0.0000 0.0000
La 5.6237 3.2646 3.2163
La 5.6237 -3.2646 3.2163
Tb 2.9090 1.7294 1.5308
Tb 2.4398 0.0000 4.5564
Tb 2.9090 -1.7294 1.5308
Tb 5.6237 0.0000 3.2163
Tb 8.3383 1.7294 4.9019
Tb 8.8075 0.0000 1.8763
Tb 8.3383 -1.7294 4.9019
Nd 5.8846 0.0000 0.0000
```

---

Compound: Sn2IrBr
Source: Alexandria
Functional: PBE
Structure: optimized geometry Values from VASP.

The calculation puts the distance to the lowest polymorph of the same formula at 0 meV per atom. The symmetry is No. 122. As for the density: 6270 kg/m³. As for the density of states at the Fermi level: 1.2 states/eV/cell.

Cell and atoms, written as Quantum ESPRESSO input:
```
&SYSTEM
  ibrav = 0, nat = 8, ntyp = 3
/
ATOMIC_SPECIES
Sn 118.71 Sn.upf
Ir 192.22 Ir.upf
Br 79.90 Br.upf
CELL_PARAMETERS angstrom
-3.3177 3.3177 6.1298
3.3177 -3.3177 6.1298
3.3177 3.3177 -6.1298
ATOMIC_POSITIONS angstrom
Sn 4.9765 1.1482 -1.5324
Sn 1.1482 1.6588 1.5324
Sn -1.6588 2.1694 4.5973
Sn 2.1694 1.6588 7.6622
Ir 0.0000 0.0000 0.0000
Ir 0.0000 3.3177 3.0649
Br 3.3177 0.0000 3.0649
Br 0.0000 0.0000 6.1298
```

---

Compound: NaNbReH2
Source: Alexandria
Functional: PBE
Structure: optimized geometry Values from VASP.

The calculation puts the distance to the lowest polymorph of the same formula at 0 meV per atom. The symmetry is No. 123. As for the density: 7813 kg/m³. As for the density of states at the Fermi level: 4.0 states/eV/cell.

Cell and atoms, written as Quantum ESPRESSO input:
```
&SYSTEM
  ibrav = 0, nat = 5, ntyp = 4
/
ATOMIC_SPECIES
Na 22.99 Na.upf
Nb 92.91 Nb.upf
Re 186.21 Re.upf
H 1.01 H.upf
CELL_PARAMETERS angstrom
3.5995 0.0000 0.0000
0.0000 3.5995 0.0000
0.0000 0.0000 4.9885
ATOMIC_POSITIONS angstrom
Na 0.0000 0.0000 0.0000
Nb 1.7998 1.7998 0.0000
Re 0.0000 0.0000 2.4943
H 0.0000 1.7998 2.4943
H 1.7998 0.0000 2.4943
```

---

Compound: TlVPS2
Source: Alexandria
Functional: PBE
Structure: optimized geometry Values from VASP.

The calculation puts the distance to the lowest polymorph of the same formula at 0 meV per atom. The symmetry is No. 123. As for the density: 5689 kg/m³. As for the density of states at the Fermi level: 2.7 states/eV/cell.

Cell and atoms, written as Quantum ESPRESSO input:
```
&SYSTEM
  ibrav = 0, nat = 5, ntyp = 4
/
ATOMIC_SPECIES
Tl 204.38 Tl.upf
V 50.94 V.upf
P 30.97 P.upf
S 32.06 S.upf
CELL_PARAMETERS angstrom
4.6525 0.0000 0.0000
0.0000 4.6525 0.0000
0.0000 0.0000 4.7254
ATOMIC_POSITIONS angstrom
Tl 0.0000 0.0000 0.0000
V 2.3263 2.3263 2.3627
P 2.3263 2.3263 0.0000
S 0.0000 2.3263 2.3627
S 2.3263 0.0000 2.3627
```

---

Compound: Tm2InPb5
Source: Alexandria
Functional: PBE
Structure: optimized geometry Values from VASP.

The symmetry is No. 55. The value obtained for the total energy is -64.29 eV per cell. As for the density: 11008 kg/m³. As for the density of states at the Fermi level: 8.4 states/eV/cell.

Cell and atoms, written as Quantum ESPRESSO input:
```
&SYSTEM
  ibrav = 0, nat = 16, ntyp = 3
/
ATOMIC_SPECIES
Tm 168.93 Tm.upf
In 114.82 In.upf
Pb 207.20 Pb.upf
CELL_PARAMETERS angstrom
6.7894 0.0000 0.0000
0.0000 13.6131 0.0000
0.0000 0.0000 4.8595
ATOMIC_POSITIONS angstrom
Tm 1.6190 1.7387 0.0000
Tm 1.7757 8.5452 0.0000
Tm 5.0137 5.0679 0.0000
Tm 5.1704 11.8745 0.0000
In 0.0000 6.8066 2.4298
In 3.3947 0.0000 2.4298
Pb 0.0000 0.0000 2.4298
Pb 0.0716 10.1687 2.4298
Pb 1.6181 5.1583 0.0000
Pb 1.7767 11.9648 0.0000
Pb 3.3231 3.3622 2.4298
Pb 3.3947 6.8066 2.4298
Pb 3.4663 10.2510 2.4298
Pb 5.0128 1.6483 0.0000
Pb 5.1714 8.4549 0.0000
Pb 6.7178 3.4444 2.4298
```

---

Compound: Hf2CoIr2
Source: Alexandria
Functional: PBE
Structure: optimized geometry Values from VASP.

The calculation puts the distance to the lowest polymorph of the same formula at 0 meV per atom. The symmetry is No. 127. As for the density: 14803 kg/m³. As for the density of states at the Fermi level: 5.5 states/eV/cell.

Cell and atoms, written as Quantum ESPRESSO input:
```
&SYSTEM
  ibrav = 0, nat = 10, ntyp = 3
/
ATOMIC_SPECIES
Hf 178.49 Hf.upf
Co 58.93 Co.upf
Ir 192.22 Ir.upf
CELL_PARAMETERS angstrom
7.6806 0.0000 0.0000
0.0000 7.6806 0.0000
0.0000 0.0000 3.0437
ATOMIC_POSITIONS angstrom
Hf 1.2090 2.6313 0.0000
Hf 2.6313 6.4717 0.0000
Hf 5.0493 1.2090 0.0000
Hf 6.4717 5.0493 0.0000
Co 0.0000 0.0000 0.0000
Co 3.8403 3.8403 0.0000
Ir 1.0793 4.9196 1.5219
Ir 2.7610 1.0793 1.5219
Ir 4.9196 6.6013 1.5219
Ir 6.6013 2.7610 1.5219
```

---

Compound: ThPF
Source: Alexandria
Functional: PBE
Structure: optimized geometry Values from VASP.

The calculation puts the distance to the lowest polymorph of the same formula at 212 meV per atom. The symmetry is No. 216. As for the density: 7054 kg/m³. As for the density of states at the Fermi level: 0.0 states/eV/cell.

Cell and atoms, written as Quantum ESPRESSO input:
```
&SYSTEM
  ibrav = 0, nat = 3, ntyp = 3
/
ATOMIC_SPECIES
Th 232.04 Th.upf
P 30.97 P.upf
F 19.00 F.upf
CELL_PARAMETERS angstrom
0.0000 3.2138 3.2138
3.2138 0.0000 3.2138
3.2138 3.2138 0.0000
ATOMIC_POSITIONS angstrom
Th 0.0000 0.0000 0.0000
P 4.8207 4.8207 4.8207
F 1.6069 1.6069 1.6069
```

---

Compound: BaNbP2Se8
Source: Alexandria
Functional: PBE
Structure: optimized geometry Values from VASP.

The symmetry is No. 147. The value obtained for the total energy is -56.90 eV per cell. As for the density: 4820 kg/m³. As for the density of states at the Fermi level: 5.2 states/eV/cell.

Cell and atoms, written as Quantum ESPRESSO input:
```
&SYSTEM
  ibrav = 0, nat = 12, ntyp = 4
/
ATOMIC_SPECIES
Ba 137.33 Ba.upf
Nb 92.91 Nb.upf
P 30.97 P.upf
Se 78.96 Se.upf
CELL_PARAMETERS angstrom
6.3524 0.0000 0.0000
-3.1762 5.5013 0.0000
0.0000 0.0000 9.1069
ATOMIC_POSITIONS angstrom
Ba 0.0000 0.0000 0.0000
Nb 0.0000 0.0000 4.5535
P 0.0000 3.6676 6.7012
P 3.1762 1.8338 2.4057
Se -2.0272 3.7338 3.0164
Se 0.9562 1.8788 3.0164
Se 0.0000 3.6676 8.8774
Se 2.1052 0.1113 6.0905
Se 1.0710 5.3900 3.0164
Se 3.1762 1.8338 0.2295
Se 2.2200 3.6225 6.0905
Se 5.2034 1.7675 6.0905
```

---

Compound: TlZnBi2
Source: Alexandria
Functional: PBE
Structure: optimized geometry Values from VASP.

The symmetry is No. 123. The value obtained for the total energy is -10.73 eV per cell. As for the density: 10040 kg/m³. As for the density of states at the Fermi level: 2.3 states/eV/cell.

Cell and atoms, written as Quantum ESPRESSO input:
```
&SYSTEM
  ibrav = 0, nat = 4, ntyp = 3
/
ATOMIC_SPECIES
Tl 204.38 Tl.upf
Zn 65.41 Zn.upf
Bi 208.98 Bi.upf
CELL_PARAMETERS angstrom
4.9673 0.0000 0.0000
0.0000 4.9673 0.0000
0.0000 0.0000 4.6100
ATOMIC_POSITIONS angstrom
Tl 0.0000 0.0000 0.0000
Zn 2.4836 2.4836 0.0000
Bi 0.0000 2.4836 2.3050
Bi 2.4836 0.0000 2.3050
```

---

Compound: CsHfAl
Source: Alexandria
Functional: PBE
Structure: optimized geometry Values from VASP.

The calculation puts the distance to the lowest polymorph of the same formula at 373 meV per atom. The symmetry is No. 62. As for the density: 5435 kg/m³. As for the density of states at the Fermi level: 13.1 states/eV/cell.

Cell and atoms, written as Quantum ESPRESSO input:
```
&SYSTEM
  ibrav = 0, nat = 12, ntyp = 3
/
ATOMIC_SPECIES
Cs 132.91 Cs.upf
Hf 178.49 Hf.upf
Al 26.98 Al.upf
CELL_PARAMETERS angstrom
14.1269 0.0000 0.0000
0.0000 5.6293 0.0000
0.0000 0.0000 5.2001
ATOMIC_POSITIONS angstrom
Cs 3.5295 1.4073 1.2928
Cs 3.5339 4.2220 3.8929
Cs 10.5930 1.4073 1.3073
Cs 10.5974 4.2220 3.9073
Hf 0.0005 1.4073 2.6068
Hf 14.1264 4.2220 2.5934
Hf 7.0639 1.4073 5.1934
Hf 7.0630 4.2220 0.0067
Al 0.0000 0.0000 0.0000
Al 0.0000 2.8146 0.0000
Al 7.0634 0.0000 2.6001
Al 7.0634 2.8146 2.6001
```

---

Compound: SrAg2Se
Source: Alexandria
Functional: PBE
Structure: optimized geometry Values from VASP.

The symmetry is No. 123. The value obtained for the total energy is -12.49 eV per cell. As for the density: 6236 kg/m³. As for the density of states at the Fermi level: 0.3 states/eV/cell.

Cell and atoms, written as Quantum ESPRESSO input:
```
&SYSTEM
  ibrav = 0, nat = 4, ntyp = 3
/
ATOMIC_SPECIES
Sr 87.62 Sr.upf
Ag 107.87 Ag.upf
Se 78.96 Se.upf
CELL_PARAMETERS angstrom
4.1688 0.0000 0.0000
0.0000 4.1688 0.0000
0.0000 0.0000 5.8580
ATOMIC_POSITIONS angstrom
Sr 0.0000 0.0000 0.0000
Ag 2.0844 2.0844 1.4741
Ag 2.0844 2.0844 4.3839
Se 0.0000 0.0000 2.9290
```

---

Which calculated volume belongs to each record? In order, 18.53 34.95 33.73 12.93 20.46 28.07 17.96 22.13 26.52 28.44 34.46 25.45 A^3/atom.